1.
Crystalline Pm3TcO at its relaxed geometry, computed with PBE-GGA.

a b c (Å): 4.8155 4.8155 4.8155
angles (deg): 90.00 90.00 90.00
With the nearest neighbours (Å) after each atom.
Positions (direct):
Pm1 0.0000 0.0000 0.5000  2 O 2.41
Pm2 0.0000 0.5000 0.0000  2 O 2.41
Pm3 0.5000 0.0000 0.0000  2 O 2.41
Tc1 0.5000 0.5000 0.5000  12 Pm 3.41
O1 0.0000 0.0000 0.0000  6 Pm 2.41

* SG: No. 221
* DFT total energy: -6.8200 eV per atom
* crystal system: cubic
* mass density: 8.16 g/cm3
* total moment: 0.00 Bohr magnetons per cell


2.
Crystalline Pm4Tc6O19 at its relaxed geometry, computed with PBE-GGA.

a b c (Å): 7.8536 7.8536 7.8536
angles (deg): 109.47 109.47 109.47
With the nearest neighbours (Å) after each atom.
Positions (direct):
Pm1 0.0000 0.0000 0.6960  7 O 2.39-2.48
Pm2 0.0000 0.6960 0.0000  7 O 2.39-2.48
Pm3 0.3040 0.3040 0.3040  7 O 2.39-2.48
Pm4 0.6960 0.0000 0.0000  7 O 2.39-2.48
Tc1 0.1331 0.6331 0.5000  6 O 1.97-2.03
Tc2 0.3669 0.5000 0.8669  6 O 1.97-2.03
Tc3 0.5000 0.1331 0.6331  6 O 1.97-2.03
Tc4 0.5000 0.8669 0.3669  6 O 1.97-2.03
Tc5 0.6331 0.5000 0.1331  6 O 1.97-2.03
Tc6 0.8669 0.3669 0.5000  6 O 1.97-2.03
O1 0.0000 0.0000 0.0000  4 Pm 2.39
O2 0.0000 0.3199 0.3199  2 Tc 2.03
O3 0.0000 0.6801 0.6801  2 Tc 2.03
O4 0.0592 0.3364 0.7110  2 Tc 1.97-1.98
O5 0.2772 0.9408 0.6517  2 Tc 1.97-1.98
O6 0.2890 0.6255 0.3483  2 Tc 1.97-1.98
O7 0.3199 0.0000 0.3199  2 Tc 2.03
O8 0.3199 0.3199 0.0000  2 Tc 2.03
O9 0.3364 0.7110 0.0592  2 Tc 1.97-1.98
O10 0.3483 0.2890 0.6255  2 Tc 1.97-1.98
O11 0.3745 0.6636 0.7228  2 Tc 1.97-1.98
O12 0.6255 0.3483 0.2890  2 Tc 1.97-1.98
O13 0.6517 0.2772 0.9408  2 Tc 1.97-1.98
O14 0.6636 0.7228 0.3745  2 Tc 1.97-1.98
O15 0.6801 0.0000 0.6801  2 Tc 2.03
O16 0.6801 0.6801 0.0000  2 Tc 2.03
O17 0.7110 0.0592 0.3364  2 Tc 1.97-1.98
O18 0.7228 0.3745 0.6636  2 Tc 1.97-1.98
O19 0.9408 0.6517 0.2772  2 Tc 1.97-1.98

* SG: No. 197
* DFT total energy: -8.1614 eV per atom
* crystal system: cubic
* mass density: 6.55 g/cm3
* total moment: 0.00 Bohr magnetons per cell


3.
Crystalline Pm6TcO12 at its relaxed geometry, computed with PBE-GGA.

a b c (Å): 6.6657 6.6657 6.6657
angles (deg): 98.46 98.46 98.46
With the nearest neighbours (Å) after each atom.
Positions (direct):
Pm1 0.1120 0.8099 0.6441  6 O 2.28-2.51
Pm2 0.1901 0.3559 0.8880  6 O 2.28-2.51
Pm3 0.3559 0.8880 0.1901  6 O 2.28-2.51
Pm4 0.6441 0.1120 0.8099  6 O 2.28-2.51
Pm5 0.8099 0.6441 0.1120  6 O 2.28-2.51
Pm6 0.8880 0.1901 0.3559  6 O 2.28-2.51
Tc1 0.5000 0.5000 0.5000  6 O 1.97
O1 0.0611 0.9079 0.3226  4 Pm 2.28-2.36
O2 0.0921 0.6774 0.9389  4 Pm 2.28-2.36
O3 0.2103 0.4305 0.5328  1 Tc 1.97
O4 0.3226 0.0611 0.9079  4 Pm 2.28-2.36
O5 0.4305 0.5328 0.2103  1 Tc 1.97
O6 0.4672 0.7897 0.5695  1 Tc 1.97
O7 0.5328 0.2103 0.4305  1 Tc 1.97
O8 0.5695 0.4672 0.7897  1 Tc 1.97
O9 0.6774 0.9389 0.0921  4 Pm 2.28-2.36
O10 0.7897 0.5695 0.4672  1 Tc 1.97
O11 0.9079 0.3226 0.0611  4 Pm 2.28-2.36
O12 0.9389 0.0921 0.6774  4 Pm 2.28-2.36

* SG: No. 148
* DFT total energy: -8.1783 eV per atom
* crystal system: trigonal
* mass density: 6.75 g/cm3
* total moment: 1.00 Bohr magnetons per cell


4.
Crystalline Pm4TcO10 at its relaxed geometry, computed with PBE-GGA.

a b c (Å): 6.6411 6.6411 6.6411
angles (deg): 99.84 99.84 131.17
With the nearest neighbours (Å) after each atom.
Positions (direct):
Pm1 0.0990 0.6974 0.7963  8 O 2.33-2.49
Pm2 0.3026 0.0990 0.4016  8 O 2.33-2.49
Pm3 0.6974 0.9010 0.5984  8 O 2.33-2.49
Pm4 0.9010 0.3026 0.2037  8 O 2.33-2.49
Tc1 0.5000 0.5000 0.0000  8 O 2.10
O1 0.1024 0.3728 0.9168  1 Tc 2.10
O2 0.1857 0.1024 0.7296  1 Tc 2.10
O3 0.2500 0.7500 0.5000  4 Pm 2.33
O4 0.3728 0.4561 0.2704  1 Tc 2.10
O5 0.4561 0.1857 0.0832  1 Tc 2.10
O6 0.5439 0.8143 0.9168  1 Tc 2.10
O7 0.6272 0.5439 0.7296  1 Tc 2.10
O8 0.7500 0.2500 0.5000  4 Pm 2.33
O9 0.8143 0.8976 0.2704  1 Tc 2.10
O10 0.8976 0.6272 0.0832  1 Tc 2.10

* SG: No. 87
* DFT total energy: -7.6697 eV per atom
* crystal system: tetragonal
* mass density: 6.93 g/cm3
* total moment: 0.89 Bohr magnetons per cell


5.
Crystalline PmTc2O6 at its relaxed geometry, computed with PBE-GGA.

a b c (Å): 5.2611 5.2611 5.0550
angles (deg): 90.00 90.00 120.00
With the nearest neighbours (Å) after each atom.
Positions (direct):
Pm1 0.0000 0.0000 0.0000  6 O 2.38
Tc1 0.3333 0.6667 0.5000  6 O 2.01
Tc2 0.6667 0.3333 0.5000  6 O 2.01
O1 0.0000 0.3623 0.7171  2 Tc 2.01
O2 0.0000 0.6377 0.2829  2 Tc 2.01
O3 0.3623 0.0000 0.7171  2 Tc 2.01
O4 0.3623 0.3623 0.2829  2 Tc 2.01
O5 0.6377 0.0000 0.2829  2 Tc 2.01
O6 0.6377 0.6377 0.7171  2 Tc 2.01

* SG: No. 162
* energy above the most stable polymorph in this dataset: 0.000 eV/atom
* crystal system: trigonal
* mass density: 5.99 g/cm3
* total moment: 5.00 Bohr magnetons per cell


6.
Crystalline Pm2Tc2O7 at its relaxed geometry, computed with PBE-GGA.

a b c (Å): 5.1858 5.1858 5.1776
angles (deg): 90.00 90.00 93.85
With the nearest neighbours (Å) after each atom.
Positions (direct):
Pm1 0.2500 0.2500 0.0000  6 O 2.29-2.36
Pm2 0.7500 0.7500 0.0000  6 O 2.29-2.36
Tc1 0.2365 0.7635 0.5000  7 O 2.00-2.13
Tc2 0.7635 0.2365 0.5000  7 O 2.00-2.13
O1 0.0000 0.0000 0.2792  2 Tc 2.13, 2 Pm 2.29, 1 O 2.29
O2 0.0000 0.0000 0.7208  2 Tc 2.13, 2 Pm 2.29, 1 O 2.29
O3 0.0000 0.5000 0.2706  2 Tc 2.13, 2 Pm 2.36, 1 O 2.38
O4 0.0000 0.5000 0.7294  2 Tc 2.13, 2 Pm 2.36, 1 O 2.38
O5 0.5000 0.0000 0.2706  2 Tc 2.13, 2 Pm 2.36, 1 O 2.38
O6 0.5000 0.0000 0.7294  2 Tc 2.13, 2 Pm 2.36, 1 O 2.38
O7 0.5000 0.5000 0.5000  2 Tc 2.00

* SG: No. 65
* energy above the most stable polymorph in this dataset: 0.354 eV/atom
* crystal system: orthorhombic
* mass density: 7.15 g/cm3
* total moment: 1.00 Bohr magnetons per cell